Record 1
Material: Nd2Er6Sc
Method: DFT, PBE
State: optimized geometry

Cell: 9.6535 16.7382 3.4247 Å, 90.00 90.00 90.00°
With the nearest neighbours (Å) after each atom.
Space group Cmmm (No. 65)
Asymmetric unit:
Nd 0.0000 0.1667 0.0000 x4  2 Nd 3.42, 12 Er 3.67
Er 0.1640 0.3360 0.5000 x8  5 Er 3.17-3.42
Er 0.1718 0.0000 0.5000 x4  5 Er 3.17-3.42
Sc 0.0000 0.5000 0.0000 x2  2 Sc 3.42, 12 Er 3.60

Computed properties:
* calculated total energy: -4.705 eV per atom
* energy relative to the lowest polymorph listed for this composition: 0.0000 eV per atom
* energy of formation from the pure elements: 0.100 eV per atom

***

Record 2
Material: NaSr2TcRu
Method: DFT, PBE
State: optimized geometry

Cell: 5.5375 5.5375 5.3884 Å, 90.00 90.00 90.00°
With the nearest neighbours (Å) after each atom.
Space group P4/mmm (No. 123)
Asymmetric unit:
Na 0.0000 0.0000 0.0000 x1  2 Ru 2.69
Sr 0.0000 0.5000 0.5000 x2  2 Ru 2.77
Tc 0.5000 0.5000 0.0000 x1  8 Sr 3.86, 4 Na 3.92
Ru 0.0000 0.0000 0.5000 x1  2 Na 2.69, 4 Sr 2.77

Computed properties:
* calculated total energy: -3.585 eV per atom
* energy of formation from the pure elements: 1.280 eV per atom

***

Record 3
Material: SrFe2CuHg
Method: DFT, PBE
State: optimized geometry

Cell: 4.9418 4.9418 5.9960 Å, 90.00 90.00 90.00°
With the nearest neighbours (Å) after each atom.
Space group P4/mmm (No. 123)
Asymmetric unit:
Sr 0.0000 0.0000 0.0000 x1  2 Hg 3.00
Fe 0.0000 0.5000 0.5000 x2  2 Hg 2.47
Cu 0.5000 0.5000 0.0000 x1  4 Sr 3.49, 8 Fe 3.88
Hg 0.0000 0.0000 0.5000 x1  4 Fe 2.47

Computed properties:
* calculated total energy: -3.414 eV per atom
* energy of formation from the pure elements: 1.187 eV per atom